1.
A relaxed LiLa3Ru crystal. Source: the Alexandria database, functional PBE.

Summary:
* density of states at the Fermi level: 4.2 states/eV/cell
* total DFT energy (no corrections): -26.8 eV per formula unit
* ρ: 5577 kg/m3
* DFT formation energy: -166 meV/atom
* ΔE to the lowest computed polymorph: 0.0000 eV/atom

a b c (Å): 7.820 6.160 6.487
angles (deg): 90.00 90.00 90.12
Fractional coordinates of all 10 atoms:
La 0.374 0.428 0.508
La 0.100 0.928 0.319
La 0.100 0.428 0.982
La 0.647 0.929 0.319
La 0.374 0.928 0.794
La 0.647 0.429 0.982
Li 0.874 0.428 0.490
Li 0.874 0.928 0.812
Ru 0.374 0.678 0.151
Ru 0.374 0.178 0.151

2.
A relaxed Li2La2Ru crystal. Source: the Alexandria database, functional PBE.

Summary:
* density of states at the Fermi level: 10.5 states/eV/cell
* total DFT energy (no corrections): -21.8 eV per formula unit
* ρ: 5905 kg/m3
* DFT formation energy: 226 meV/atom

a b c (Å): 6.953 6.953 4.569
angles (deg): 90.00 90.00 90.00
Fractional coordinates of all 10 atoms:
Li 0.875 0.625 0.000
Li 0.625 0.125 0.000
Li 0.375 0.875 0.000
Li 0.125 0.375 0.000
Ru 0.500 0.500 0.000
Ru 0.000 0.000 0.000
La 0.799 0.299 0.500
La 0.701 0.799 0.500
La 0.299 0.201 0.500
La 0.201 0.701 0.500

3.
A relaxed Li2LaRu crystal. Source: the Alexandria database, functional PBE.

Summary:
* density of states at the Fermi level: 1.5 states/eV/cell
* total DFT energy (no corrections): -17.8 eV per formula unit
* ρ: 5354 kg/m3
* DFT formation energy: 49 meV/atom
* ΔE to the lowest computed polymorph: 0.0573 eV/atom

a b c (Å): 5.071 3.940 3.940
angles (deg): 90.00 90.00 90.00
Fractional coordinates of all 4 atoms:
Li 0.000 0.500 0.500
Li 0.000 0.000 0.000
Ru 0.500 0.500 0.000
La 0.500 0.000 0.500

4.
A relaxed Li2LaRu crystal. Source: the Alexandria database, functional PBE.

Summary:
* density of states at the Fermi level: 2.1 states/eV/cell
* total DFT energy (no corrections): -17.8 eV per formula unit
* ρ: 4946 kg/m3
* DFT formation energy: 58 meV/atom
* ΔE to the lowest computed polymorph: 0.0655 eV/atom

a b c (Å): 3.423 3.423 7.276
angles (deg): 90.00 90.00 90.85
Fractional coordinates of all 4 atoms:
Li 0.000 0.000 0.079
Li 0.500 0.500 0.274
La 0.500 0.500 0.681
Ru 0.000 0.000 0.465

5.
A relaxed LiLa3Ru crystal. Source: the Alexandria database, functional PBE.

Summary:
* density of states at the Fermi level: 4.9 states/eV/cell
* total DFT energy (no corrections): -23.9 eV per formula unit
* ρ: 3306 kg/m3
* DFT formation energy: 419 meV/atom
* ΔE to the lowest computed polymorph: 0.5847 eV/atom

a b c (Å): 3.868 9.766 9.766
angles (deg): 134.40 90.00 90.00
Site moments in Bohr magnetons follow the coordinates.
Fractional coordinates of all 5 atoms:
La 0.500 0.684 0.827  0.05
La 0.000 0.266 0.734  0.17
La 0.500 0.173 0.316  0.04
Li 0.500 0.100 0.900  0.00
Ru 0.000 0.405 0.595  -0.01

6.
A relaxed LiLa2Ru crystal. Source: the Alexandria database, functional PBE.

Summary:
* density of states at the Fermi level: 2.6 states/eV/cell
* total DFT energy (no corrections): -21.5 eV per formula unit
* ρ: 5062 kg/m3
* DFT formation energy: -113 meV/atom
* ΔE to the lowest computed polymorph: 0.0117 eV/atom

a b c (Å): 4.134 4.134 8.879
angles (deg): 76.54 76.54 60.00
Fractional coordinates of all 4 atoms:
Ru 0.665 0.665 0.004
Li 0.502 0.502 0.494
La 0.059 0.059 0.822
La 0.274 0.274 0.179

- The lowest DFT formation energy belongs to which entry?
  number 1